# 1
Entry from Alexandria via LeMat-Bulk: a relaxed TlCr2Os crystal (GGA-PBE).

The structure belongs to space group P4mm (No. 99); the cell edges are 2.915, 2.915 and 7.565 Å and the angles 90.00°, 90.00° and 90.00°. The inequivalent atoms are Tl at (0.000, 0.000, 0.000), Cr at (0.000, 0.000, 0.508), Cr at (0.500, 0.500, 0.298) and Os at (0.500, 0.500, 0.700).

Its total magnetic moment is 1.91 μB/f.u. The calculated formation energy is 2.026 eV/f.u. Its polymorph energy (0 for the lowest one) is 2.3 kJ per mole of atoms.

***

# 2
Entry from Alexandria via LeMat-Bulk: a relaxed SbAuNO2 crystal (GGA-PBE).

The structure belongs to space group P4/mmm (No. 123); the cell edges are 3.897, 3.897 and 4.292 Å and the angles 90.00°, 90.00° and 90.00°. The inequivalent atoms are Sb at (0.000, 0.000, 0.000), Au at (0.500, 0.500, 0.500), N at (0.000, 0.000, 0.500) and O at (0.000, 0.500, 0.000).

Its total magnetic moment is 0.00 μB/f.u. For the total energy, the calculation gives -4.843 eV per atom.

***

# 3
Entry from Alexandria via LeMat-Bulk: a relaxed Tb6Pm2In3 crystal (GGA-PBE).

The structure belongs to space group I4/mmm (No. 139); the cell edges are 4.553, 4.553 and 33.767 Å and the angles 90.00°, 90.00° and 90.00°. The inequivalent atoms are Tb at (0.000, 0.000, 0.213), Tb at (0.000, 0.500, 0.128), Pm at (0.000, 0.000, 0.044), In at (0.000, 0.000, 0.306) and In at (0.000, 0.000, 0.500).

Its total magnetic moment is 0.00 μB/f.u. The calculated formation energy is -0.206 eV/f.u.

***

# 4
Entry from Alexandria via LeMat-Bulk: a relaxed CdAsIr2 crystal (GGA-PBE).

The structure belongs to space group Cm (No. 8); the cell edges are 10.351, 2.941 and 5.265 Å and the angles 90.00°, 118.53° and 90.00°. The inequivalent atoms are Cd at (0.000, 0.000, 0.000), As at (0.194, 0.000, 0.747), Ir at (0.251, 0.500, 0.429) and Ir at (0.472, 0.000, 0.447).

Its total magnetic moment is 0.00 μB/f.u. The calculated formation energy is 0.603 eV/f.u. Its polymorph energy (0 for the lowest one) is 5.7 kJ per mole of atoms.